The following is a DFT calculation (PBEsol) of crystalline LiCoSe3 at its relaxed geometry.

Lattice parameters (Å, degrees): 4.678 4.678 4.678 90.00 90.00 90.00
Fractional coordinates of all 5 atoms:
1 Co 0.000 0.000 0.000
2 Li 0.500 0.500 0.500
3 Se 0.500 0.000 0.000
4 Se 0.000 0.500 0.000
5 Se 0.000 0.000 0.500

## Properties
uncorrected formation energy: -0.014 eV/atom
volume: 102 Å³ per cell